1.
The following is a PBE calculation of a relaxed K5CuClO2 crystal, from the Alexandria database.

abc: 5.419 5.419 8.866
angles: 90.00 90.00 90.00
Space group P4/mmm (No. 123)
Inequivalent atoms, fractional coordinates:
K  0.000  0.000  0.000 (multiplicity 1)
K  0.000  0.500  0.286 (multiplicity 4)
Cu  0.000  0.000  0.500 (multiplicity 1)
Cl  0.500  0.500  0.000 (multiplicity 1)
O  0.000  0.000  0.292 (multiplicity 2)

Values from the calculation:
- uncorrected energy (eV/atom) = -3.468
- DOS at the Fermi energy (states/eV per cell) = 1.6

***

2.
The following is a PBE calculation of a relaxed KCuOsCl6 crystal, from the Alexandria database.

abc: 6.3938 6.3938 6.9536
angles: 90.00 90.00 120.00
Space group P312 (No. 149)
Inequivalent atoms, fractional coordinates:
K  0.0000  0.0000  0.0000 (multiplicity 1)
Cu  0.3333  0.6667  0.5000 (multiplicity 1)
Os  0.6667  0.3333  0.5000 (multiplicity 1)
Cl  0.3740  0.0181  0.6907 (multiplicity 6)

Values from the calculation:
- uncorrected energy (eV/atom) = -3.819
- DOS at the Fermi energy (states/eV per cell) = 3.5

***

3.
The following is a PBE calculation of a relaxed K2CuPCl6 crystal, from the Alexandria database.

abc: 7.001 7.001 9.870
angles: 90.00 90.00 90.00
Space group I4/mmm (No. 139)
Inequivalent atoms, fractional coordinates:
K  0.000  0.500  0.250 (multiplicity 4)
Cu  0.000  0.000  0.000 (multiplicity 2)
P  0.000  0.000  0.500 (multiplicity 2)
Cl  0.000  0.000  0.252 (multiplicity 4)
Cl  0.247  0.247  0.500 (multiplicity 8)

Values from the calculation:
- uncorrected energy (eV/atom) = -3.322
- DOS at the Fermi energy (states/eV per cell) = 0.4

***

4.
The following is a PBE calculation of a relaxed KCuP2Cl crystal, from the Alexandria database.

abc: 6.416 6.416 5.553
angles: 90.00 90.00 90.00
Space group P4/mmm (No. 123)
Inequivalent atoms, fractional coordinates:
K  0.000  0.000  0.000 (multiplicity 1)
Cu  0.500  0.500  0.500 (multiplicity 1)
P  0.000  0.500  0.000 (multiplicity 2)
Cl  0.000  0.000  0.500 (multiplicity 1)

Values from the calculation:
- DOS at the Fermi energy (states/eV per cell) = 12.8
- energy above the most stable polymorph in this dataset (meV per atom) = 1448

***

5.
The following is a PBE calculation of a relaxed KCuP2Cl crystal, from the Alexandria database.

abc: 4.355 4.355 7.624
angles: 90.00 90.00 90.00
Space group P4/mmm (No. 123)
Inequivalent atoms, fractional coordinates:
K  0.000  0.000  0.000 (multiplicity 1)
Cu  0.500  0.500  0.500 (multiplicity 1)
P  0.000  0.500  0.500 (multiplicity 2)
Cl  0.500  0.500  0.000 (multiplicity 1)

Values from the calculation:
- DOS at the Fermi energy (states/eV per cell) = 2.4
- energy above the most stable polymorph in this dataset (meV per atom) = 0

***

6.
The following is a PBE calculation of a relaxed KPaCuCl6 crystal, from the Alexandria database.

abc: 6.6653 6.6653 14.4619
angles: 90.00 90.00 120.00
Space group P-31c (No. 163)
Inequivalent atoms, fractional coordinates:
K  0.0000  0.0000  0.0000 (multiplicity 2)
Pa  0.3333  0.6667  0.2500 (multiplicity 2)
Cu  0.3333  0.6667  0.7500 (multiplicity 2)
Cl  0.0095  0.3649  0.6448 (multiplicity 12)

Values from the calculation:
- uncorrected energy (eV/atom) = -4.436
- DOS at the Fermi energy (states/eV per cell) = 0.8

***

7.
The following is a PBE calculation of a relaxed KCu4Pb3Cl12 crystal, from the Alexandria database.

abc: 14.4035 14.4035 10.7955
angles: 90.00 90.00 120.00
Space group R32 (No. 155, hexagonal axes)
Inequivalent atoms, fractional coordinates:
K  0.0000  0.0000  0.0000 (multiplicity 3)
Cu  0.0000  0.0000  0.5000 (multiplicity 3)
Cu  0.0000  0.4369  0.5000 (multiplicity 9)
Pb  0.0000  0.5506  0.0000 (multiplicity 9)
Cl  0.0000  0.5964  0.5000 (multiplicity 9)
Cl  0.0000  0.8466  0.5000 (multiplicity 9)
Cl  0.0294  0.1973  0.1850 (multiplicity 18)

Values from the calculation:
- uncorrected energy (eV/atom) = -3.451
- DOS at the Fermi energy (states/eV per cell) = 38.7

***

8.
The following is a PBE calculation of a relaxed KCu2PbCl8 crystal, from the Alexandria database.

abc: 6.988 6.988 13.202
angles: 90.00 90.00 90.00
Space group I-4 (No. 82)
Inequivalent atoms, fractional coordinates:
K  0.000  0.000  0.000 (multiplicity 2)
Cu  0.000  0.000  0.500 (multiplicity 2)
Cu  0.000  0.500  0.250 (multiplicity 2)
Pb  0.000  0.500  0.750 (multiplicity 2)
Cl  0.059  0.305  0.527 (multiplicity 8)
Cl  0.141  0.787  0.218 (multiplicity 8)

Values from the calculation:
- uncorrected energy (eV/atom) = -3.106
- DOS at the Fermi energy (states/eV per cell) = 4.4

***

9.
The following is a PBE calculation of a relaxed KCu2PbCl6 crystal, from the Alexandria database.

abc: 6.821 7.085 8.371
angles: 92.26 113.06 117.56
Space group P1 (No. 1)
Inequivalent atoms, fractional coordinates:
K  0.000  0.000  0.000 (multiplicity 1)
Cu  0.489  0.234  0.725 (multiplicity 1)
Cu  0.511  0.764  0.272 (multiplicity 1)
Pb  0.000  0.499  0.499 (multiplicity 1)
Cl  0.175  0.256  0.731 (multiplicity 1)
Cl  0.220  0.452  0.276 (multiplicity 1)
Cl  0.457  0.913  0.741 (multiplicity 1)
Cl  0.544  0.084  0.252 (multiplicity 1)
Cl  0.783  0.547  0.726 (multiplicity 1)
Cl  0.822  0.738  0.265 (multiplicity 1)

Values from the calculation:
- uncorrected energy (eV/atom) = -3.387
- DOS at the Fermi energy (states/eV per cell) = 5.9

***

10.
The following is a PBE calculation of a relaxed K2CuPbCl6 crystal, from the Alexandria database.

abc: 7.241 7.453 12.526
angles: 90.00 125.23 90.00
Space group P2_1/c (No. 14)
Inequivalent atoms, fractional coordinates:
K  0.233  0.058  0.249 (multiplicity 4)
Cu  0.000  0.000  0.500 (multiplicity 2)
Pb  0.500  0.000  0.000 (multiplicity 2)
Cl  0.150  0.223  0.958 (multiplicity 4)
Cl  0.239  0.693  0.962 (multiplicity 4)
Cl  0.307  0.016  0.730 (multiplicity 4)

Values from the calculation:
- uncorrected energy (eV/atom) = -3.370
- DOS at the Fermi energy (states/eV per cell) = 7.2

***

11.
The following is a PBE calculation of a relaxed KCu2PdCl8 crystal, from the Alexandria database.

abc: 6.102 7.796 7.998
angles: 104.46 102.62 105.15
Space group P-1 (No. 2)
Inequivalent atoms, fractional coordinates:
K  0.000  0.000  0.000 (multiplicity 1)
Cu  0.334  0.787  0.348 (multiplicity 2)
Pd  0.500  0.500  0.000 (multiplicity 1)
Cl  0.059  0.335  0.811 (multiplicity 2)
Cl  0.290  0.070  0.440 (multiplicity 2)
Cl  0.391  0.505  0.266 (multiplicity 2)
Cl  0.468  0.798  0.027 (multiplicity 2)

Values from the calculation:
- uncorrected energy (eV/atom) = -3.147
- DOS at the Fermi energy (states/eV per cell) = 1.3

***

12.
The following is a PBE calculation of a relaxed K3CuPd2Cl9 crystal, from the Alexandria database.

abc: 6.9793 6.9793 8.5409
angles: 90.00 90.00 120.00
Space group P-3m1 (No. 164)
Inequivalent atoms, fractional coordinates:
K  0.0000  0.0000  0.0000 (multiplicity 1)
K  0.3333  0.6667  0.6623 (multiplicity 2)
Cu  0.0000  0.0000  0.5000 (multiplicity 1)
Pd  0.3333  0.6667  0.1687 (multiplicity 2)
Cl  0.0000  0.5000  0.0000 (multiplicity 3)
Cl  0.1649  0.3299  0.3351 (multiplicity 6)

Values from the calculation:
- uncorrected energy (eV/atom) = -3.364
- DOS at the Fermi energy (states/eV per cell) = 4.3